Crystalline CoPd at its relaxed geometry. Source: OQMD via LeMat-Bulk, functional PBE-GGA.

Values from the calculation:
* DFT formation energy: 0.0913 eV per atom

Lattice parameters (Å, degrees): 2.682 2.682 4.255 90.00 90.00 120.00
Atoms (fractional coordinates):
Co: 0.000 0.000 0.000
Pd: 0.667 0.333 0.500